# 1
Density functional theory data (SCAN) for a crystal of Be3CrMo relaxed with PBEsol.

Cell lengths 4.1632, 4.1632, 4.1632 Å; angles 90.00, 90.00, 90.00 degrees
Fractional positions:
1 Cr 0.5000 0.5000 0.5000
2 Mo 0.0000 0.0000 0.0000
3 Be 0.0000 0.5000 0.0000
4 Be 0.0000 0.0000 0.5000
5 Be 0.5000 0.0000 0.0000

Computed properties:
SG	Pm-3m (221)
total magnetic moment	3.163	Bohr magnetons per cell
energy relative to the elements	1.215	eV/atom
ρ	4.03	g/cm³

# 2
Density functional theory data (SCAN) for a crystal of Be4CrMo relaxed with PBEsol.

Cell lengths 4.3014, 4.3014, 4.3014 Å; angles 60.00, 60.00, 60.00 degrees
Fractional positions:
1 Cr 0.7500 0.7500 0.7500
2 Mo 0.0000 0.0000 0.0000
3 Be 0.3752 0.3752 0.3752
4 Be 0.3752 0.3752 0.8743
5 Be 0.8743 0.3752 0.3752
6 Be 0.3752 0.8743 0.3752

Computed properties:
offset from the most stable computed form	0	meV per atom
SG	F-43m (216)
total magnetic moment	0.088	Bohr magnetons per cell
energy relative to the elements	-0.254	eV/atom
ρ	5.43	g/cm³

# 3
Density functional theory data (SCAN) for a crystal of Be4CrMo relaxed with PBEsol.

Cell lengths 4.3081, 4.3081, 7.0450 Å; angles 90.00, 90.00, 120.00 degrees
Fractional positions:
1 Be 0.0000 0.0000 0.5000
2 Be 0.0000 0.0000 0.0000
3 Be 0.1701 0.3403 0.7405
4 Be 0.1701 0.8299 0.7405
5 Be 0.6597 0.8299 0.7405
6 Be 0.8299 0.6597 0.2595
7 Be 0.8299 0.1701 0.2595
8 Be 0.3403 0.1701 0.2595
9 Cr 0.6667 0.3333 0.5604
10 Cr 0.3333 0.6667 0.4396
11 Mo 0.3333 0.6667 0.0665
12 Mo 0.6667 0.3333 0.9335

Computed properties:
offset from the most stable computed form	12	meV per atom
SG	P-3m1 (164)
total magnetic moment	0.000	Bohr magnetons per cell
energy relative to the elements	-0.242	eV/atom
ρ	5.40	g/cm³

# 4
Density functional theory data (SCAN) for a crystal of BeCrMo2 relaxed with PBEsol.

Cell lengths 2.6738, 2.6738, 8.6611 Å; angles 81.12, 81.12, 60.00 degrees
Fractional positions:
1 Cr 0.0000 0.0000 0.0000
2 Mo 0.2475 0.2475 0.2576
3 Mo 0.7525 0.7525 0.7424
4 Be 0.5000 0.5000 0.5000

Computed properties:
SG	R-3m (166)
total magnetic moment	1.427	Bohr magnetons per cell
energy relative to the elements	0.441	eV/atom
ρ	7.96	g/cm³